Material: Yb2Zn17
Method: DFT, PBE-GGA
State: optimized geometry

Lattice parameters (Å, degrees): 6.8127 6.8127 6.8127 82.91 82.91 82.91
Sites, in units of the cell vectors:
Zn 0.5000 0.0000 0.0000
Zn 0.3516 0.8394 0.3516
Zn 0.7018 0.0000 0.2982
Zn 0.1009 0.1009 0.1009
Zn 0.6484 0.1606 0.6484
Zn 0.1606 0.6484 0.6484
Zn 0.7018 0.2982 0.0000
Zn 0.2982 0.0000 0.7018
Zn 0.2982 0.7018 0.0000
Zn 0.6484 0.6484 0.1606
Zn 0.0000 0.5000 0.0000
Zn 0.0000 0.2982 0.7018
Zn 0.0000 0.0000 0.5000
Yb 0.3372 0.3372 0.3372
Zn 0.8991 0.8991 0.8991
Zn 0.8394 0.3516 0.3516
Yb 0.6628 0.6628 0.6628
Zn 0.0000 0.7018 0.2982
Zn 0.3516 0.3516 0.8394

Space-group type: R-3m (166)
Raw total energy, eV per formula unit: -28.5
Magnetization, μB/f.u.: 0.38


Material: Li2CoIr
Method: DFT, PBE-GGA
State: optimized geometry

Lattice parameters (Å, degrees): 4.3148 2.6444 4.4205 89.99 90.00 90.00
Sites, in units of the cell vectors:
Li 0.5000 0.3750 0.1465
Co 0.0000 0.3750 0.6085
Ir 0.5000 0.8749 0.6432
Li 0.0000 0.8752 0.1018

Space-group type: Pmm2 (25)
Magnetization, μB/f.u.: 1.34
Offset from the most stable computed form, eV/atom: 0.007


Material: Cu3PbCl8
Method: DFT, PBE-GGA
State: optimized geometry

Lattice parameters (Å, degrees): 7.1841 8.1079 7.4684 118.97 90.00 116.30
Sites, in units of the cell vectors:
Cl 0.7571 0.5141 0.7943
Cu 0.5000 0.5000 0.0000
Cl 0.7065 0.9993 0.7638
Cl 0.7072 0.0007 0.2362
Cl 0.2928 0.9993 0.7638
Cl 0.2403 0.4806 0.7904
Cu 0.5000 0.0000 0.0000
Cl 0.7597 0.5194 0.2096
Cl 0.2429 0.4859 0.2057
Cu 0.0000 0.5000 0.0000
Cl 0.2935 0.0007 0.2362
Pb 0.0000 0.0000 0.0000

Space-group type: C2/m (12)
Uncorrected formation energy, kJ/mol of formula units: -673.5
Magnetization, μB/f.u.: 2.80
Offset from the most stable computed form, eV/atom: 0.000


Material: Cs3Pm2ErTe6
Method: DFT, PBE-GGA
State: optimized geometry

Lattice parameters (Å, degrees): 7.9844 7.9844 9.3209 98.21 98.21 120.00
Sites, in units of the cell vectors:
Er 0.0000 0.0000 0.0000
Pm 0.3336 0.6664 0.0000
Cs 0.1690 0.8310 0.5000
Cs 0.5000 0.5000 0.5000
Te 0.9362 0.6105 0.8085
Te 0.0638 0.3895 0.1915
Cs 0.8310 0.1690 0.5000
Te 0.7385 0.7385 0.1924
Pm 0.6664 0.3336 0.0000
Te 0.2615 0.2615 0.8076
Te 0.6105 0.9362 0.8085
Te 0.3895 0.0638 0.1915

Space-group type: C2/m (12)
Uncorrected formation energy, kJ/mol of formula units: -1616.7
Magnetization, μB/f.u.: 0.00


Material: MgNbCo
Method: DFT, PBE-GGA
State: optimized geometry

Lattice parameters (Å, degrees): 2.8681 7.2733 19.6540 158.85 85.82 78.63
Sites, in units of the cell vectors:
Mg 0.7175 0.7698 0.7952
Mg 0.2825 0.2302 0.2048
Nb 0.5083 0.2397 0.7437
Co 0.3288 0.6903 0.6521
Co 0.6712 0.3097 0.3479
Nb 0.4917 0.7603 0.2563

Space-group type: C2/m (12)
Magnetization, μB/f.u.: 0.00
Offset from the most stable computed form, eV/atom: 0.098


Material: Ce4As2PS
Method: DFT, PBE-GGA
State: optimized geometry

Lattice parameters (Å, degrees): 8.2845 8.2845 8.2723 119.95 119.95 89.99
Sites, in units of the cell vectors:
As 0.5000 0.0000 0.0000
Ce 0.7539 0.2586 0.5062
Ce 0.2467 0.2533 0.0047
Ce 0.2414 0.7461 0.9938
As 0.5000 0.5000 0.0000
Ce 0.7533 0.7467 0.9953
P 0.0000 0.5000 0.0000
As 0.0000 0.0000 0.5000
S 0.5000 0.5000 0.5000
Ce 0.2467 0.2533 0.4953
Ce 0.2461 0.7414 0.4938
S 0.0000 0.0000 0.0000
P 0.0000 0.5000 0.5000
Ce 0.7533 0.7467 0.5047
As 0.5000 0.0000 0.5000
Ce 0.7586 0.2539 0.0062

Space-group type: Imma (74)
Uncorrected formation energy, kJ/mol of formula units: -1236.5
Magnetization, μB/f.u.: 3.05